First-principles (PBE-GGA) data for crystalline TlIn5 at its relaxed geometry, as listed in the Alexandria database.

Geometry as extended XYZ:
```
6
Lattice="3.672 0.000 0.000 0.000 5.502 0.000 0.000 -2.751 8.313" Properties=species:S:1:pos:R:3 pbc="T T T"
Tl 0.000 0.000 0.000
In 0.000 2.751 2.692
In 0.000 0.000 5.621
In 1.836 2.751 0.000
In 1.836 0.000 2.897
In 1.836 2.751 5.416
```

Properties
* formation energy from the elements: 0.021 eV per atom